First-principles (PBE-GGA) data for an optimized crystal structure of Sr2ZrAg, as listed in Alexandria.

Cell: 3.6976 3.6976 9.7968 Å, 90.00 90.00 90.00°
Sites, in units of the cell vectors:
Sr: 0.0000 0.0000 0.0000
Sr: 0.5000 0.5000 0.3656
Zr: 0.0000 0.0000 0.6307
Ag: 0.5000 0.5000 0.7682

Values from the calculation:
For the calculated volume, the calculation gives 133.9 Å³ per cell. The polymorph energy (0 for the lowest one) comes out at 0.0 kJ per mole of atoms. Its total energy is -3.521 eV per atom. The symmetry is P4mm (99). For the total magnetization, the calculation gives 0.86 μB/cell.